{"formula": "Ca8CdN5", "functional": "GGA-PBE", "state": "relaxed", "lattice_angstrom": [[9.2335, -1.8153, 0.0000], [9.2335, 1.8153, 0.0000], [-2.4186, 0.0000, 8.6967]], "species": ["Ca", "Ca", "Ca", "Ca", "Ca", "Ca", "Ca", "Ca", "Cd", "N", "N", "N", "N", "N"], "frac_coords": [[0.0811, 0.0811, 0.1263], [0.2675, 0.2675, 0.8561], [0.3222, 0.3222, 0.5255], [0.4144, 0.4144, 0.1669], [0.5856, 0.5856, 0.8331], [0.6778, 0.6778, 0.4745], [0.7325, 0.7325, 0.1439], [0.9189, 0.9189, 0.8737], [0.0000, 0.0000, 0.5000], [0.1578, 0.1578, 0.9467], [0.2029, 0.2029, 0.3303], [0.5000, 0.5000, 0.0000], [0.7971, 0.7971, 0.6697], [0.8422, 0.8422, 0.0533]], "energy_ha_per_atom": -0.180, "crystal_system": "monoclinic", "magmom_total_mub_per_fu": 0.000, "e_form_raw_ev_per_atom": -0.71, "spacegroup": "C2/m"}